(1)
{"formula": "Sr2YPdC", "functional": "PBE", "state": "optimized geometry", "space_group": "P4/mmm, No. 123", "final_energy_ev_per_atom": -3.806, "magmom_total_mub_per_fu": 0.0, "lattice": [[6.473, 0.000, 0.000], [0.000, 4.145, 0.000], [0.000, 0.000, 6.473]], "species": ["Y", "Sr", "Sr", "C", "Pd"], "fractional_positions": [[0.000, 0.000, 0.000], [0.000, 0.000, 0.500], [0.500, 0.000, 0.000], [0.000, 0.500, 0.000], [0.500, 0.500, 0.500]]}



(2)
{"formula": "Na8Tl5In", "functional": "PBE", "state": "optimized geometry", "space_group": "I-4, No. 82", "final_energy_ev_per_atom": -1.823, "magmom_total_mub_per_fu": 0.0, "lattice": [[-4.365, -5.140, 4.737], [8.072, -1.364, 0.941], [-1.910, 7.686, 2.277]], "species": ["Na", "Na", "Na", "Na", "Na", "Na", "Na", "Na", "Tl", "Tl", "Tl", "Tl", "Tl", "In"], "fractional_positions": [[0.133, 0.699, 0.057], [0.943, 0.076, 0.643], [0.757, 0.269, 0.362], [0.638, 0.395, 0.907], [0.512, 0.605, 0.243], [0.566, 0.924, 0.867], [0.357, 0.301, 0.434], [0.093, 0.731, 0.488], [0.017, 0.295, 0.094], [0.906, 0.923, 0.201], [0.799, 0.705, 0.722], [0.500, 0.000, 0.500], [0.278, 0.077, 0.983], [0.250, 0.500, 0.750]]}



no.,DFT formation energy (eV/atom)
1,1.043
2,-0.028